Entry 1:
A relaxed Dy3PuSe6 crystal, computed with PBE.

Geometry as POSCAR:
```
Dy3PuSe6
1.0
11.608 0.000 0.000
0.000 4.121 0.000
-3.854 0.000 11.177
Dy Pu Se
6 2 12
Cartesian
0.137 1.030 1.859 Dy
0.158 3.091 5.602 Dy
0.436 1.030 10.259 Dy
7.318 3.091 0.918 Dy
7.596 1.030 5.574 Dy
7.617 3.091 9.318 Dy
4.080 1.030 3.471 Pu
3.674 3.091 7.705 Pu
-1.258 1.030 4.298 Se
-2.403 1.030 10.467 Se
1.774 3.091 3.088 Se
0.657 3.091 8.385 Se
2.389 1.030 6.012 Se
4.463 3.091 1.113 Se
3.291 1.030 10.064 Se
5.365 3.091 5.165 Se
7.097 1.030 2.792 Se
5.980 1.030 8.089 Se
10.157 3.091 0.710 Se
9.012 3.091 6.879 Se
```

Calculated values
energy relative to the elements, uncorrected	-1.76	eV per atom
D(E_F)	1.14	states/eV/atom

Entry 2:
A relaxed Sr3FeNi crystal, computed with PBE.

Geometry as POSCAR:
```
Sr3FeNi
1.0
5.670 0.000 0.000
0.000 5.670 0.000
0.000 0.000 5.670
Sr Fe Ni
3 1 1
Cartesian
0.000 0.000 2.835 Sr
0.000 2.835 0.000 Sr
2.835 0.000 0.000 Sr
2.835 2.835 2.835 Fe
0.000 0.000 0.000 Ni
```

Calculated values
formation energy from the elements	0.57	eV per atom
polymorph energy (0 for the lowest one)	0.000	eV per formula unit
D(E_F)	4.64	states/eV/atom

Entry 3:
A relaxed PrTlP2O6 crystal, computed with PBE.

Geometry as POSCAR:
```
PrTlP2O6
1.0
3.921 -5.787 0.000
3.921 5.787 0.000
-1.192 0.000 8.679
Pr Tl P O
2 2 4 12
Cartesian
3.027 4.001 6.509 Pr
3.623 -4.001 2.170 Pr
3.623 0.896 2.170 Tl
3.027 -0.896 6.509 Tl
2.629 4.181 2.680 P
4.616 4.181 1.659 P
2.034 -4.181 7.020 P
4.020 -4.181 5.999 P
1.058 2.645 6.624 O
2.865 3.906 4.168 O
0.567 0.151 6.280 O
1.163 -0.151 1.941 O
4.380 3.906 0.171 O
1.654 -2.645 2.284 O
4.996 2.645 6.395 O
2.269 -3.906 8.507 O
5.486 0.151 6.738 O
6.082 -0.151 2.399 O
3.784 -3.906 4.511 O
5.591 -2.645 2.055 O
```

Calculated values
energy relative to the elements, uncorrected	-2.32	eV per atom
D(E_F)	0.00	states/eV/atom

Entry 4:
A relaxed CdSiCl6 crystal, computed with PBE.

Geometry as POSCAR:
```
CdSiCl6
1.0
3.129 -6.083 0.000
3.129 6.083 0.000
-2.119 0.000 5.861
Cd Si Cl
1 1 6
Cartesian
0.000 0.000 0.000 Cd
2.070 0.000 2.930 Si
1.164 1.632 1.628 Cl
0.275 0.000 4.178 Cl
1.164 -1.632 1.628 Cl
2.976 1.632 4.232 Cl
3.865 0.000 1.682 Cl
2.976 -1.632 4.232 Cl
```

Calculated values
energy relative to the elements, uncorrected	-0.95	eV per atom
D(E_F)	0.00	states/eV/atom

Entry 5:
A relaxed PrHoS3 crystal, computed with PBE.

Geometry as POSCAR:
```
PrHoS3
1.0
7.424 0.000 0.000
0.000 4.009 0.000
0.000 0.000 15.413
Pr Ho S
4 4 12
Cartesian
1.067 1.002 3.088 Pr
2.645 3.007 10.795 Pr
4.779 1.002 4.619 Pr
6.357 3.007 12.325 Pr
1.707 3.007 7.037 Ho
2.005 1.002 14.744 Ho
5.419 3.007 0.670 Ho
5.717 1.002 8.376 Ho
0.091 1.002 6.098 S
0.933 3.007 0.937 S
1.108 1.002 12.106 S
2.604 3.007 4.399 S
2.779 1.002 8.644 S
3.621 3.007 13.805 S
3.803 1.002 1.608 S
4.645 3.007 6.770 S
4.820 1.002 11.014 S
6.316 3.007 3.308 S
6.491 1.002 14.476 S
7.333 3.007 9.315 S
```

Calculated values
energy relative to the elements, uncorrected	-2.08	eV per atom
polymorph energy (0 for the lowest one)	0.000	eV per formula unit

Entry 6:
A relaxed PuPaGeRu crystal, computed with PBE.

Geometry as POSCAR:
```
PuPaGeRu
1.0
0.000 3.381 3.381
3.381 0.000 3.381
3.381 3.381 0.000
Pu Pa Ge Ru
1 1 1 1
Cartesian
0.000 0.000 0.000 Pu
1.691 1.691 1.691 Pa
5.072 5.072 5.072 Ge
3.381 3.381 3.381 Ru
```

Calculated values
formation energy from the elements	-0.32	eV per atom
polymorph energy (0 for the lowest one)	0.633	eV per formula unit
D(E_F)	0.97	states/eV/atom

Entry 7:
A relaxed Tb2PmHoEr2 crystal, computed with PBE.

Geometry as POSCAR:
```
Tb2PmHoEr2
1.0
6.506 0.000 0.000
0.000 17.771 0.000
0.000 0.000 3.390
Tb Pm Ho Er
4 2 2 4
Cartesian
1.457 3.315 0.000 Tb
1.796 12.201 1.695 Tb
4.710 5.570 1.695 Tb
5.049 14.455 0.000 Tb
0.000 0.000 0.000 Pm
3.253 8.885 1.695 Pm
0.000 8.885 0.000 Ho
3.253 0.000 1.695 Ho
1.441 6.266 1.695 Er
1.812 15.151 0.000 Er
4.694 2.620 0.000 Er
5.065 11.505 1.695 Er
```

Calculated values
formation energy from the elements	0.28	eV per atom
D(E_F)	1.61	states/eV/atom

Entry 8:
A relaxed Tb6YAl crystal, computed with PBE.

Geometry as POSCAR:
```
Tb6YAl
1.0
4.600 2.656 3.360
-4.600 2.656 3.360
0.000 -5.311 3.360
Tb Y Al
6 1 1
Cartesian
-3.333 -0.839 4.558 Tb
-0.940 -3.306 5.522 Tb
-2.394 2.467 5.522 Tb
2.394 -2.467 4.558 Tb
0.940 3.306 4.558 Tb
3.333 0.839 5.522 Tb
0.000 0.000 5.040 Y
0.000 0.000 0.000 Al
```

Calculated values
formation energy from the elements	0.04	eV per atom
D(E_F)	1.44	states/eV/atom